1.
# BrO2F2 (GGA-PBE, relaxed)
# ρ = 3.54 g/cm³
# formation energy without anion corrections = 1.14 eV/atom
# M_tot = 3.12 μB/f.u.
data_BrO2F2
_chemical_formula_sum 'Br1 O2 F2'
_cell_length_a 3.680
_cell_length_b 3.680
_cell_length_c 5.189
_cell_angle_alpha 90.00
_cell_angle_beta 90.00
_cell_angle_gamma 90.00
_space_group_name_H-M_alt 'P 4/m m m'
_space_group_IT_number 123
_space_group_name_Hall '-P 4 2'
loop_
_atom_site_label
_atom_site_fract_x
_atom_site_fract_y
_atom_site_fract_z
_atom_site_occupancy
Br1 0.000 0.000 0.000 1
O1 0.000 0.500 0.500 1
F1 0.500 0.500 0.000 1
F2 0.500 0.500 0.500 1

***

2.
# BrO2F2 (GGA-PBE, relaxed)
# ρ = 2.58 g/cm³
# formation energy without anion corrections = -0.31 eV/atom
# M_tot = 1.87 μB/f.u.
data_BrO2F2
_chemical_formula_sum 'Br2 O4 F4'
_cell_length_a 5.981
_cell_length_b 5.981
_cell_length_c 5.394
_cell_angle_alpha 90.00
_cell_angle_beta 90.00
_cell_angle_gamma 90.00
_space_group_name_H-M_alt 'P 4/m b m'
_space_group_IT_number 127
_space_group_name_Hall '-P 4 2ab'
loop_
_atom_site_label
_atom_site_fract_x
_atom_site_fract_y
_atom_site_fract_z
_atom_site_occupancy
Br1 0.000 0.000 0.000 1
O1 0.073 0.427 0.500 1
F1 0.243 0.743 0.000 1

***

3.
# BrOF2 (GGA-PBE, relaxed)
# ρ = 3.17 g/cm³
# formation energy without anion corrections = 0.42 eV/atom
# M_tot = 1.91 μB/f.u.
data_BrOF2
_chemical_formula_sum 'Br3 O3 F6'
_cell_length_a 3.0233
_cell_length_b 3.0233
_cell_length_c 26.5549
_cell_angle_alpha 90.00
_cell_angle_beta 90.00
_cell_angle_gamma 120.00
_space_group_name_H-M_alt 'R -3 m'
_space_group_IT_number 166
_space_group_name_Hall '-R 3 2"'
loop_
_atom_site_label
_atom_site_fract_x
_atom_site_fract_y
_atom_site_fract_z
_atom_site_occupancy
Br1 0.0000 0.0000 0.0000 1
O1 0.0000 0.0000 0.5000 1
F1 0.0000 0.0000 0.4397 1

***

4.
# BrO2F2 (GGA-PBE, relaxed)
# ρ = 3.84 g/cm³
# formation energy without anion corrections = 0.80 eV/atom
# M_tot = 0.02 μB/f.u.
data_BrO2F2
_chemical_formula_sum 'Br2 O4 F4'
_cell_length_a 2.652
_cell_length_b 2.652
_cell_length_c 18.449
_cell_angle_alpha 90.00
_cell_angle_beta 90.00
_cell_angle_gamma 90.00
_space_group_name_H-M_alt 'I 4/m m m'
_space_group_IT_number 139
_space_group_name_Hall '-I 4 2'
loop_
_atom_site_label
_atom_site_fract_x
_atom_site_fract_y
_atom_site_fract_z
_atom_site_occupancy
Br1 0.000 0.000 0.000 1
O1 0.000 0.500 0.250 1
F1 0.000 0.000 0.411 1